w.
Material: PuZrP2
Method: DFT, PBE-GGA
State: optimized geometry

Lattice parameters (Å, degrees): 3.8066 3.8066 19.7735 90.00 90.00 120.00
Space group R3m (No. 160, hexagonal axes)
Inequivalent atoms, fractional coordinates:
Pu1 0.0000 0.0000 0.0000 x3
Zr1 0.0000 0.0000 0.8252 x3
P1 0.0000 0.0000 0.4152 x3
P2 0.0000 0.0000 0.5751 x3

Computed properties:
The density of states at the Fermi level comes out at 27.155 states/eV/cell.

***

x.
Material: PuZrP2
Method: DFT, PBE-GGA
State: optimized geometry

Lattice parameters (Å, degrees): 3.8527 3.8527 18.9602 90.00 90.00 120.00
Space group R-3m (No. 166, hexagonal axes)
Inequivalent atoms, fractional coordinates:
Pu1 0.0000 0.0000 0.0000 x3
Zr1 0.0000 0.0000 0.5000 x3
P1 0.0000 0.0000 0.2461 x6

Computed properties:
The density of states at the Fermi level comes out at 30.906 states/eV/cell.

***

Energy above the most stable structure, in eV/atom: w 0.173; x 0.000

***

w.
Material: RbP
Method: DFT, PBE-GGA
State: optimized geometry

Lattice parameters (Å, degrees): 6.227 6.908 12.054 90.00 90.00 90.00
Space group P2_12_12_1 (No. 19)
Inequivalent atoms, fractional coordinates:
Rb1 0.102 0.119 0.083 x4
Rb2 0.165 0.360 0.715 x4
P1 0.093 0.591 0.972 x4
P2 0.165 0.192 0.406 x4

***

x.
Material: RbP
Method: DFT, PBE-GGA
State: optimized geometry

Lattice parameters (Å, degrees): 3.559 10.131 6.830 90.00 90.00 90.00
Space group Imm2 (No. 44)
Inequivalent atoms, fractional coordinates:
Rb1 0.000 0.196 0.000 x4
P1 0.000 0.000 0.459 x2
P2 0.000 0.500 0.173 x2

Computed properties:
The density of states at the Fermi level comes out at 1.520 states/eV/cell.

***

Energy above the most stable structure, in eV/atom: w 0.000; x 0.125

***

w.
Material: RbP
Method: DFT, PBE-GGA
State: optimized geometry

Lattice parameters (Å, degrees): 11.446 5.566 4.064 90.00 110.41 90.00
Space group C2/m (No. 12)
Inequivalent atoms, fractional coordinates:
Rb1 0.153 0.000 0.399 x4
P1 0.050 0.500 0.799 x4

Computed properties:
The density of states at the Fermi level comes out at 2.301 states/eV/cell.

***

x.
Material: RbP
Method: DFT, PBE-GGA
State: optimized geometry

Lattice parameters (Å, degrees): 9.655 9.655 9.655 90.00 90.00 90.00
Space group Pm-3n (No. 223)
Inequivalent atoms, fractional coordinates:
Rb1 0.000 0.250 0.500 x6
P1 0.000 0.500 0.250 x6

Computed properties:
The density of states at the Fermi level comes out at 13.250 states/eV/cell.

***

y.
Material: RbP
Method: DFT, PBE-GGA
State: optimized geometry

Lattice parameters (Å, degrees): 3.204 3.204 5.257 90.00 90.00 90.00
Space group P4/mmm (No. 123)
Inequivalent atoms, fractional coordinates:
Rb1 0.000 0.000 0.000 x1
P1 0.500 0.500 0.500 x1

Computed properties:
The density of states at the Fermi level comes out at 1.543 states/eV/cell.

***

Energy above the most stable structure, in eV/atom: w 0.000; x 1.064; y 0.619

***

w.
Material: Rb4P
Method: DFT, PBE-GGA
State: optimized geometry

Lattice parameters (Å, degrees): 6.849 6.849 6.849 90.00 90.00 90.00
Space group Pm-3m (No. 221)
Inequivalent atoms, fractional coordinates:
Rb1 0.000 0.000 0.000 x1
Rb2 0.000 0.500 0.500 x3
P1 0.500 0.500 0.500 x1

Computed properties:
The density of states at the Fermi level comes out at 5.776 states/eV/cell.

***

x.
Material: Rb4P
Method: DFT, PBE-GGA
State: optimized geometry

Lattice parameters (Å, degrees): 8.850 8.850 8.633 90.00 90.00 90.00
Space group P4/mcc (No. 124)
Inequivalent atoms, fractional coordinates:
Rb1 0.160 0.260 0.000 x8
P1 0.000 0.000 0.250 x2

Computed properties:
The density of states at the Fermi level comes out at 6.903 states/eV/cell.

***

Energy above the most stable structure, in eV/atom: w 0.029; x 0.000

***

w.
Material: RbRe3P
Method: DFT, PBE-GGA
State: optimized geometry

Lattice parameters (Å, degrees): 4.711 4.711 4.711 90.00 90.00 90.00
Space group Pm-3m (No. 221)
Inequivalent atoms, fractional coordinates:
Rb1 0.000 0.000 0.000 x1
Re1 0.000 0.000 0.500 x3
P1 0.500 0.500 0.500 x1

Computed properties:
The density of states at the Fermi level comes out at 7.260 states/eV/cell.

***

x.
Material: RbRe3P
Method: DFT, PBE-GGA
State: optimized geometry

Lattice parameters (Å, degrees): 4.588 4.588 4.588 90.00 90.00 90.00
Space group Pm-3m (No. 221)
Inequivalent atoms, fractional coordinates:
Rb1 0.000 0.000 0.000 x1
Re1 0.000 0.500 0.500 x3
P1 0.500 0.500 0.500 x1

Computed properties:
The density of states at the Fermi level comes out at 6.796 states/eV/cell.

***

Energy above the most stable structure, in eV/atom: w 2.790; x 0.000

***

w.
Material: RbRePS2
Method: DFT, PBE-GGA
State: optimized geometry

Lattice parameters (Å, degrees): 4.846 4.846 4.668 90.00 90.00 90.00
Space group P4/mmm (No. 123)
Inequivalent atoms, fractional coordinates:
Rb1 0.000 0.000 0.000 x1
Re1 0.500 0.500 0.500 x1
P1 0.500 0.500 0.000 x1
S1 0.000 0.500 0.500 x2

Computed properties:
The density of states at the Fermi level comes out at 3.784 states/eV/cell.

***

x.
Material: RbRePS2
Method: DFT, PBE-GGA
State: optimized geometry

Lattice parameters (Å, degrees): 5.138 5.138 5.122 90.00 90.00 90.00
Space group P4/mmm (No. 123)
Inequivalent atoms, fractional coordinates:
Rb1 0.000 0.000 0.000 x1
Re1 0.500 0.500 0.500 x1
P1 0.000 0.000 0.500 x1
S1 0.000 0.500 0.000 x2

Computed properties:
The density of states at the Fermi level comes out at 15.062 states/eV/cell.

***

Energy above the most stable structure, in eV/atom: w 0.000; x 3.008